4
Lattice="3.058 0.000 0.000 0.000 3.058 0.000 0.000 0.000 6.494" Properties=species:S:1:pos:R:3 comment="TaInNiC, relaxed, DFT PBE" formation_enthalpy_0k_mev_per_atom=-70.3 space_group="No. 99" magnetic_moment_mub_per_fu=0.0 pbc="T T T"
Ta 0.000 0.000 0.000
In 0.000 0.000 3.013
Ni 1.529 1.529 4.677
C 1.529 1.529 0.157